Entry 1:
## NiPd8Pt5 (PBE)

Data for a relaxed structure of NiPd8Pt5.

Unit cell a=6.646 b=6.646 c=6.646 alpha=109.83 beta=109.83 gamma=108.76
Sites, in units of the cell vectors:
Ni 0.000 0.000 0.000
Pd 0.137 0.061 0.717
Pd 0.344 0.420 0.283
Pd 0.414 0.021 0.269
Pd 0.580 0.863 0.924
Pd 0.752 0.144 0.731
Pd 0.856 0.586 0.608
Pd 0.939 0.656 0.076
Pd 0.979 0.248 0.392
Pt 0.216 0.527 0.909
Pt 0.250 0.750 0.500
Pt 0.473 0.382 0.688
Pt 0.618 0.306 0.091
Pt 0.694 0.784 0.312

total energy	-74.94	eV/f.u.
ΔE_f	185	meV/atom


Entry 2:
## LiZrBr2 (PBE)

Data for a relaxed structure of LiZrBr2.

Unit cell a=4.656 b=4.656 c=6.377 alpha=109.68 beta=109.68 gamma=43.17
Sites, in units of the cell vectors:
Li 0.000 0.000 0.000
Zr 0.500 0.500 0.500
Br 0.276 0.276 0.743
Br 0.724 0.724 0.257

total energy	-16.48	eV/f.u.
formation energy (no corrections)	-0.668	eV per atom
offset from the most stable computed form	16.2	kJ/mol of atoms


Entry 3:
## Ac4GeSeS2 (PBE)

Data for a relaxed structure of Ac4GeSeS2.

Unit cell a=7.631 b=4.466 c=7.713 alpha=90.00 beta=109.78 gamma=90.00
Sites, in units of the cell vectors:
Ac 0.243 0.000 0.242
Ac 0.247 0.500 0.754
Ac 0.753 0.500 0.246
Ac 0.757 0.000 0.758
Ge 0.500 0.000 0.000
Se 0.500 0.500 0.500
S 0.000 0.000 0.500
S 0.000 0.500 0.000

total energy	-46.39	eV/f.u.
formation energy (no corrections)	-1.700	eV per atom


Entry 4:
## Tl2F5 (PBE)

Data for a relaxed structure of Tl2F5.

Unit cell a=7.061 b=7.061 c=6.011 alpha=99.59 beta=99.59 gamma=44.50
Sites, in units of the cell vectors:
Tl 0.110 0.655 0.908
Tl 0.345 0.890 0.592
Tl 0.655 0.110 0.408
Tl 0.890 0.345 0.092
F 0.058 0.942 0.250
F 0.137 0.290 0.829
F 0.290 0.137 0.329
F 0.311 0.516 0.580
F 0.484 0.689 0.920
F 0.516 0.311 0.080
F 0.689 0.484 0.420
F 0.710 0.863 0.671
F 0.863 0.710 0.171
F 0.942 0.058 0.750

total energy	-26.56	eV/f.u.
formation energy (no corrections)	-1.781	eV per atom


Entry 5:
## Nd12Tm2In (PBE)

Data for a relaxed structure of Nd12Tm2In.

Unit cell a=6.844 b=6.844 c=24.634 alpha=90.00 beta=90.00 gamma=115.58
Sites, in units of the cell vectors:
Nd 0.001 0.999 0.929
Nd 0.002 0.502 0.123
Nd 0.021 0.521 0.589
Nd 0.027 0.973 0.439
Nd 0.250 0.250 0.196
Nd 0.250 0.250 0.322
Nd 0.250 0.250 0.678
Nd 0.250 0.250 0.804
Nd 0.473 0.527 0.439
Nd 0.479 0.979 0.589
Nd 0.498 0.998 0.123
Nd 0.499 0.501 0.929
Nd 0.501 0.499 0.071
Nd 0.502 0.002 0.877
Nd 0.521 0.021 0.411
Nd 0.527 0.473 0.561
Nd 0.750 0.750 0.196
Nd 0.750 0.750 0.322
Nd 0.750 0.750 0.678
Nd 0.750 0.750 0.804
Nd 0.973 0.027 0.561
Nd 0.979 0.479 0.411
Nd 0.998 0.498 0.877
Nd 0.999 0.001 0.071
Tm 0.250 0.750 0.265
Tm 0.250 0.750 0.739
Tm 0.750 0.250 0.261
Tm 0.750 0.250 0.735
In 0.250 0.750 0.000
In 0.750 0.250 0.000

total energy	-67.42	eV/f.u.
ΔE_f	98	meV/atom


Entry 6:
## BaHfB2 (PBE)

Data for a relaxed structure of BaHfB2.

Unit cell a=4.687 b=4.687 c=4.687 alpha=60.00 beta=60.00 gamma=60.00
Sites, in units of the cell vectors:
Ba 0.000 0.000 0.000
Hf 0.500 0.500 0.500
B 0.250 0.250 0.250
B 0.750 0.750 0.750

total energy	-20.60	eV/f.u.
ΔE_f	1157	meV/atom
offset from the most stable computed form	29.3	kJ/mol of atoms